1.
HgAsS2: optimized geometry, PBE.

Geometry as POSCAR:
```
HgAsS2
1.0
6.061 -3.006 0.000
6.061 3.006 0.000
-3.173 0.000 6.006
Hg As S
2 2 4
Direct
0.195 0.195 0.159
0.805 0.805 0.841
0.332 0.582 0.639
0.418 0.668 0.361
0.059 0.055 0.327
0.325 0.394 0.052
0.606 0.675 0.948
0.945 0.941 0.673
```

Output
Offset from the most stable computed form ... 0 meV/atom
Formation energy (no corrections) ... -92 meV/atom
E_tot ... -27.1 eV/cell

2.
HgAs2S: optimized geometry, PBE.

Geometry as POSCAR:
```
HgAs2S
1.0
-2.408 2.408 8.586
2.408 -2.408 8.586
2.408 2.408 -8.586
Hg As S
2 4 2
Direct
0.000 0.000 0.000
0.750 0.250 0.500
0.241 0.625 0.116
0.375 0.491 0.616
0.509 0.125 0.884
0.875 0.759 0.384
0.250 0.750 0.500
0.500 0.500 0.000
```

Output
Offset from the most stable computed form ... 0 meV/atom
Formation energy (no corrections) ... 274 meV/atom
E_tot ... -25.3 eV/cell

3.
Hg3AsS4: optimized geometry, PBE.

Geometry as POSCAR:
```
Hg3AsS4
1.0
9.142 0.000 0.000
0.000 6.063 0.000
0.000 0.000 7.808
Hg As S
6 2 8
Direct
0.000 0.214 0.000
0.193 0.631 0.885
0.307 0.369 0.385
0.500 0.786 0.500
0.693 0.369 0.385
0.807 0.631 0.885
0.000 0.789 0.374
0.500 0.211 0.874
0.000 0.159 0.333
0.000 0.895 0.782
0.213 0.703 0.222
0.287 0.297 0.722
0.500 0.105 0.282
0.500 0.841 0.833
0.713 0.297 0.722
0.787 0.703 0.222
```

Output
Formation energy (no corrections) ... 36 meV/atom
E_tot ... -43.6 eV/cell

4.
Hg4AsS5: optimized geometry, PBE.

Geometry as POSCAR:
```
Hg4AsS5
1.0
-4.439 4.439 2.759
4.439 -4.439 2.759
4.439 4.439 -2.759
Hg As S
4 1 5
Direct
0.103 0.698 0.801
0.302 0.103 0.405
0.698 0.897 0.595
0.897 0.302 0.199
0.492 0.492 0.000
0.076 0.076 0.000
0.226 0.423 0.626
0.423 0.796 0.196
0.600 0.226 0.804
0.796 0.600 0.374
```

Output
Formation energy (no corrections) ... 8 meV/atom
E_tot ... -26.4 eV/cell